Computed, not measured: a relaxed structure of Pr8CoP3Br4 at the PBE-GGA level of DFT.

Calculated values
E_tot (eV/atom): -5.550
E_form (uncorrected) (kJ/mol of atoms): -124

Structure (POSCAR):
```
Pr8CoP3Br4
1.0
8.399 0.000 0.000
0.000 8.822 0.296
-4.199 -4.198 5.941
Pr P Br Co
8 3 4 1
Direct
0.773 0.299 0.026
0.265 0.294 0.530
0.253 0.299 0.026
0.773 0.298 0.545
0.735 0.706 0.470
0.227 0.701 0.974
0.227 0.702 0.455
0.747 0.701 0.974
0.500 0.500 0.000
0.000 0.500 0.500
0.500 0.500 0.500
0.000 0.000 0.000
0.000 0.000 0.500
0.500 0.000 0.500
0.500 0.000 0.000
0.000 0.500 0.000
```